[1]
The following is a DFT calculation (PBEsol) of crystalline Zn2CuMo at its relaxed geometry.

Cell: 6.002 6.002 6.002 Å, 90.00 90.00 90.00°
Space group Fm-3m (No. 225)
Symmetry-distinct sites (fractional):
Zn 0.250 0.250 0.250
Cu 0.000 0.000 0.000
Mo 0.000 0.000 0.500

Values from the calculation:
As for the density of states at the Fermi level: 14.435 states/eV per cell. The volume is 216 Å³/cell. The energy above the most stable polymorph in this dataset comes out at 113 kJ/mol of formula units. Its formation energy is 0.29 eV/atom.

***

[2]
The following is a DFT calculation (PBEsol) of crystalline Zn2CuMo at its relaxed geometry.

Cell: 2.605 2.605 7.835 Å, 90.00 90.00 90.00°
Space group P4/mmm (No. 123)
Symmetry-distinct sites (fractional):
Zn 0.000 0.000 0.233
Cu 0.500 0.500 0.000
Mo 0.500 0.500 0.500

Values from the calculation:
As for the density of states at the Fermi level: 1.052 states/eV per cell. The volume is 53 Å³/cell. The energy above the most stable polymorph in this dataset comes out at 0 kJ/mol of formula units. Its formation energy is 0.00 eV/atom.

***

[3]
The following is a DFT calculation (PBEsol) of crystalline Zn2CuMo at its relaxed geometry.

Cell: 3.796 3.796 3.709 Å, 90.00 90.00 90.00°
Space group P4/mmm (No. 123)
Symmetry-distinct sites (fractional):
Zn 0.000 0.500 0.000
Cu 0.000 0.000 0.500
Mo 0.500 0.500 0.500

Values from the calculation:
As for the density of states at the Fermi level: 1.779 states/eV per cell. The volume is 53 Å³/cell. The energy above the most stable polymorph in this dataset comes out at 26 kJ/mol of formula units. Its formation energy is 0.07 eV/atom.